{"formula": "Ta3Cd", "functional": "PBE-GGA", "state": "relaxed", "cell": [[-0.489, -2.594, -0.970], [4.710, -0.803, -0.230], [-0.251, -2.869, 4.891]], "species": ["Ta", "Ta", "Ta", "Cd"], "fractional_positions": [[0.500, 0.000, 0.500], [0.262, 0.500, 0.267], [0.738, 0.500, 0.733], [0.000, 0.000, 0.000]], "magmom_total_mub_per_fu": 0.00, "relative_energy_ev_per_atom": 0.104, "ef_ev_per_atom": 0.2204}

=====

{"formula": "Tl3RhPb", "functional": "PBE-GGA", "state": "relaxed", "cell": [[5.285, 0.000, 0.000], [0.000, 5.285, 0.000], [0.000, 0.000, 5.285]], "species": ["Tl", "Tl", "Tl", "Pb", "Rh"], "fractional_positions": [[0.500, 0.000, 0.000], [0.000, 0.500, 0.000], [0.000, 0.000, 0.500], [0.500, 0.500, 0.500], [0.000, 0.000, 0.000]], "magmom_total_mub_per_fu": 0.00, "relative_energy_ev_per_atom": 0.000, "ef_ev_per_atom": 0.1472}

=====

{"formula": "CeHo2NpP4", "functional": "PBE-GGA", "state": "relaxed", "cell": [[4.000, 0.000, 0.000], [0.000, 6.931, 0.118], [0.000, -2.425, 6.503]], "species": ["P", "P", "P", "P", "Ho", "Ho", "Np", "Ce"], "fractional_positions": [[0.500, 0.245, 0.249], [0.000, 0.245, 0.748], [0.500, 0.755, 0.751], [0.000, 0.755, 0.252], [0.500, 0.000, 0.500], [0.000, 0.500, 0.500], [0.000, 0.000, 0.000], [0.500, 0.500, 0.000]], "magmom_total_mub_per_fu": 4.23, "ef_ev_per_atom": -1.3926}

=====

{"formula": "Sr2UAgSe6", "functional": "PBE-GGA", "state": "relaxed", "cell": [[7.171, 0.000, 0.217], [0.000, 7.880, 0.000], [0.364, 0.000, 9.958]], "species": ["Se", "Se", "Se", "Se", "Se", "Se", "Se", "Se", "Se", "Se", "Se", "Se", "Ag", "Ag", "Sr", "Sr", "Sr", "Sr", "U", "U"], "fractional_positions": [[0.305, 0.677, 0.056], [0.129, 0.472, 0.742], [0.371, 0.972, 0.758], [0.629, 0.028, 0.242], [0.668, 0.297, 0.560], [0.195, 0.177, 0.444], [0.695, 0.323, 0.944], [0.805, 0.823, 0.556], [0.871, 0.528, 0.258], [0.332, 0.703, 0.440], [0.168, 0.203, 0.060], [0.832, 0.797, 0.940], [0.500, 0.000, 0.000], [0.000, 0.500, 0.500], [0.461, 0.397, 0.241], [0.039, 0.897, 0.259], [0.539, 0.603, 0.759], [0.961, 0.103, 0.741], [0.500, 0.000, 0.500], [0.000, 0.500, 0.000]], "magmom_total_mub_per_fu": 0.00, "e_form_raw_ev_per_atom": -1.1651}

=====

{"formula": "PrNd4Ho2", "functional": "PBE-GGA", "state": "relaxed", "cell": [[-5.482, 11.275, -1.754], [-0.200, -11.672, 4.898], [5.485, 2.265, 3.458]], "species": ["Ho", "Ho", "Ho", "Ho", "Nd", "Nd", "Nd", "Nd", "Nd", "Nd", "Nd", "Nd", "Pr", "Pr"], "fractional_positions": [[0.924, 0.107, 0.052], [0.305, 0.622, 0.948], [0.107, 0.924, 0.552], [0.622, 0.305, 0.448], [0.719, 0.182, 0.875], [0.594, 0.558, 0.626], [0.792, 0.185, 0.403], [0.182, 0.719, 0.375], [0.558, 0.594, 0.126], [0.185, 0.792, 0.903], [0.140, 0.033, 0.098], [0.033, 0.140, 0.598], [0.425, 0.676, 0.500], [0.676, 0.425, 0.000]], "magmom_total_mub_per_fu": 0.00, "relative_energy_ev_per_atom": 0.000, "ef_ev_per_atom": 0.0609}

=====

{"formula": "Sr4LiSm2Ta2O12", "functional": "PBE-GGA", "state": "relaxed", "cell": [[5.820, 0.000, 0.001], [0.081, 6.181, -0.001], [0.125, 0.249, 8.435]], "species": ["O", "O", "O", "O", "O", "O", "O", "O", "O", "O", "O", "O", "Ta", "Ta", "Sm", "Sm", "Sr", "Sr", "Sr", "Sr", "Li"], "fractional_positions": [[0.115, 0.952, 0.229], [0.782, 0.315, 0.456], [0.315, 0.236, 0.544], [0.186, 0.715, 0.959], [0.598, 0.526, 0.728], [0.414, 0.498, 0.261], [0.700, 0.811, 0.052], [0.269, 0.179, 0.947], [0.691, 0.782, 0.449], [0.907, 0.025, 0.771], [0.227, 0.698, 0.554], [0.814, 0.261, 0.062], [0.501, 0.514, 0.500], [0.986, 0.991, 0.000], [0.501, 0.460, 0.982], [0.008, 0.000, 0.500], [0.019, 0.442, 0.741], [0.530, 0.099, 0.283], [0.964, 0.551, 0.249], [0.485, 0.939, 0.752], [0.362, 0.777, 0.146]], "magmom_total_mub_per_fu": 0.00, "e_form_raw_ev_per_atom": -2.8942, "relative_energy_ev_per_atom": 0.006}

=====

{"formula": "ScInPd2Pb", "functional": "PBE-GGA", "state": "relaxed", "cell": [[-3.788, -0.587, 2.988], [2.329, -4.603, 2.048], [2.261, 2.651, 3.387]], "species": ["In", "Pd", "Pd", "Pb", "Sc"], "fractional_positions": [[0.000, 0.500, 0.000], [0.000, 0.000, 0.500], [0.500, 0.000, 0.000], [0.500, 0.500, 0.500], [0.000, 0.000, 0.000]], "magmom_total_mub_per_fu": 0.00, "relative_energy_ev_per_atom": 0.000, "ef_ev_per_atom": 0.2788}

=====

{"formula": "Ac8GaRu3Br4", "functional": "PBE-GGA", "state": "relaxed", "cell": [[8.799, 0.000, 0.000], [0.000, 9.635, 0.592], [-4.400, -4.406, 6.217]], "species": ["Ru", "Ru", "Ru", "Br", "Br", "Br", "Br", "Ac", "Ac", "Ac", "Ac", "Ac", "Ac", "Ac", "Ac", "Ga"], "fractional_positions": [[0.500, 0.500, 0.000], [0.000, 0.500, 0.500], [0.500, 0.500, 0.500], [0.500, 0.000, 0.000], [0.000, 0.000, 0.500], [0.500, 0.000, 0.500], [0.000, 0.000, 0.000], [0.735, 0.704, 0.469], [0.760, 0.307, 0.520], [0.287, 0.307, 0.047], [0.760, 0.307, 0.047], [0.240, 0.693, 0.480], [0.713, 0.693, 0.953], [0.265, 0.296, 0.531], [0.240, 0.693, 0.953], [0.000, 0.500, 0.000]], "magmom_total_mub_per_fu": 0.00, "e_form_raw_ev_per_atom": -0.8678}

=====

{"formula": "CdCo2TcP", "functional": "PBE-GGA", "state": "relaxed", "cell": [[4.696, 0.000, 0.000], [0.000, 4.665, 0.000], [0.000, 0.000, 4.696]], "species": ["Cd", "P", "Co", "Co", "Tc"], "fractional_positions": [[0.000, 0.000, 0.000], [0.000, 0.500, 0.000], [0.500, 0.000, 0.000], [0.000, 0.000, 0.500], [0.500, 0.500, 0.500]], "magmom_total_mub_per_fu": 7.10, "ef_ev_per_atom": 1.9710}

=====

{"formula": "BaHo2P", "functional": "PBE-GGA", "state": "relaxed", "cell": [[-3.674, 1.121, 0.482], [-2.768, -1.389, -2.322], [-3.724, -8.131, 6.074]], "species": ["Ba", "Ho", "Ho", "P"], "fractional_positions": [[0.000, 0.000, 0.000], [0.882, 0.882, 0.353], [0.118, 0.118, 0.647], [0.500, 0.500, 0.500]], "magmom_total_mub_per_fu": 0.00, "ef_ev_per_atom": -0.5767}

=====

{"formula": "Pr2SmPd", "functional": "PBE-GGA", "state": "relaxed", "cell": [[6.621, 0.000, 0.000], [0.000, 7.266, 0.000], [0.000, 0.000, 10.224]], "species": ["Pr", "Pr", "Pr", "Pr", "Pr", "Pr", "Pr", "Pr", "Pd", "Pd", "Pd", "Pd", "Sm", "Sm", "Sm", "Sm"], "fractional_positions": [[0.331, 0.181, 0.439], [0.169, 0.681, 0.061], [0.831, 0.319, 0.561], [0.831, 0.319, 0.939], [0.169, 0.681, 0.439], [0.669, 0.819, 0.561], [0.331, 0.181, 0.061], [0.669, 0.819, 0.939], [0.435, 0.883, 0.250], [0.065, 0.383, 0.250], [0.565, 0.117, 0.750], [0.935, 0.617, 0.750], [0.354, 0.473, 0.750], [0.146, 0.973, 0.750], [0.646, 0.527, 0.250], [0.854, 0.027, 0.250]], "magmom_total_mub_per_fu": 0.00, "relative_energy_ev_per_atom": 0.000, "ef_ev_per_atom": -0.3999}

=====

{"formula": "GdTmHgRu", "functional": "PBE-GGA", "state": "relaxed", "cell": [[-0.930, -4.328, -2.368], [3.785, -3.081, -1.179], [0.539, -4.359, 2.433]], "species": ["Ru", "Tm", "Gd", "Hg"], "fractional_positions": [[0.250, 0.250, 0.250], [0.500, 0.500, 0.500], [0.000, 0.000, 0.000], [0.750, 0.750, 0.750]], "magmom_total_mub_per_fu": 7.18, "ef_ev_per_atom": -0.3538}

=====

Question: What is the formula in the twelfth record?
Answer: GdTmHgRu